Compound: V3CoO8
Source: Alexandria
Functional: PBE with a Hubbard U
Structure: optimized geometry

```
V3CoO8
1.0
-5.2260 -1.4176 -2.3504
-0.1216 -4.8922 3.1498
-3.7517 3.8703 5.9027
Co O V
1 8 3
Direct
0.4989 0.0338 0.8755
0.7447 0.9900 0.0293
0.5066 0.8027 0.7036
0.0244 0.6855 0.2189
0.2293 0.4972 0.5168
0.7195 0.5003 0.4704
0.5203 0.3335 0.7730
0.0066 0.1765 0.2933
0.2148 0.0125 0.9941
0.9968 0.9678 0.1277
0.4949 0.5351 0.6219
0.9948 0.4650 0.3757
```

Summary:
The magnetization comes out at 4.000 μB per cell. The value obtained for the relative energy among the computed polymorphs is 0.0197 eV/atom.